[1]
Computed, not measured: a crystal of Mn2InBIr relaxed with PBEsol at the meta-GGA SCAN level of DFT.

* uncorrected energy: -142.88 eV for the cell shown
* symmetry: No. 123
* formation energy: 535 kJ/mol of formula units

a b c (Å): 4.766 4.766 5.003
angles (deg): 90.00 90.00 90.00
Atoms (fractional coordinates):
B1 0.500 0.500 0.500
Ir1 0.000 0.000 0.000
Mn1 0.000 0.500 0.000
Mn2 0.500 0.000 0.000
In1 0.000 0.000 0.500

[2]
Computed, not measured: a crystal of Cd2ReAu relaxed with PBEsol at the meta-GGA SCAN level of DFT.

* uncorrected energy: -199.26 eV for the cell shown
* symmetry: No. 47
* formation energy: 176 kJ/mol of formula units

a b c (Å): 2.750 4.277 5.868
angles (deg): 90.00 90.00 90.00
Atoms (fractional coordinates):
Re1 0.500 0.500 0.000
Au1 0.500 0.500 0.500
Cd1 0.000 0.000 0.757
Cd2 0.000 0.000 0.243

[3]
Computed, not measured: a crystal of TiSi2Ir relaxed with PBEsol at the meta-GGA SCAN level of DFT.

* uncorrected energy: -216.14 eV for the cell shown
* symmetry: No. 122

a b c (Å): 3.762 3.762 9.018
angles (deg): 102.04 102.04 90.00
Atoms (fractional coordinates):
Si1 0.354 0.875 0.250
Si2 0.896 0.375 0.250
Si3 0.125 0.104 0.750
Si4 0.625 0.646 0.750
Ir1 0.250 0.750 0.500
Ir2 0.000 0.000 0.000
Ti1 0.750 0.250 0.500
Ti2 0.500 0.500 0.000

[4]
Computed, not measured: a crystal of La2CoOs relaxed with PBEsol at the meta-GGA SCAN level of DFT.

* uncorrected energy: -174.59 eV for the cell shown
* symmetry: No. 99
* formation energy: 77 kJ/mol of formula units

a b c (Å): 3.292 3.293 8.334
angles (deg): 90.00 90.00 90.01
Atoms (fractional coordinates):
Co1 0.500 0.500 0.324
Os1 0.000 0.000 0.419
La1 0.000 0.000 0.085
La2 0.500 0.500 0.672

[5]
Computed, not measured: a crystal of Cu2IF2 relaxed with PBEsol at the meta-GGA SCAN level of DFT.

* uncorrected energy: -77.85 eV for the cell shown
* symmetry: No. 139

a b c (Å): 4.046 4.046 5.356
angles (deg): 112.19 112.19 90.00
Atoms (fractional coordinates):
I1 0.000 0.000 0.000
Cu1 0.250 0.750 0.500
Cu2 0.750 0.250 0.500
F1 0.330 0.330 0.661
F2 0.670 0.670 0.339

[6]
Computed, not measured: a crystal of Al3ZnRe relaxed with PBEsol at the meta-GGA SCAN level of DFT.

* uncorrected energy: -102.14 eV for the cell shown
* symmetry: No. 221
* formation energy: 553 kJ/mol of formula units

a b c (Å): 4.431 4.431 4.431
angles (deg): 90.00 90.00 90.00
Atoms (fractional coordinates):
Re1 0.500 0.500 0.500
Zn1 0.000 0.000 0.000
Al1 0.000 0.500 0.000
Al2 0.000 0.000 0.500
Al3 0.500 0.000 0.000